The following is a DFT calculation (meta-GGA SCAN) of SrTaPb at its PBEsol-relaxed geometry.

Cell: 3.2879 4.0560 6.4911 Å, 108.21 104.67 90.00°
With the nearest neighbours (Å) after each atom.
Atoms (fractional coordinates):
1 Pb 0.9720 0.9720 0.9440  4 Ta 2.94, 2 Pb 3.29
2 Ta 0.3584 0.3584 0.7167  4 Pb 2.94, 2 Ta 3.29
3 Sr 0.6696 0.6696 0.3393  2 Sr 3.29, 4 Ta 3.44, 5 Pb 3.51-3.59

Computed properties:
As for the density of states at the Fermi level: 3.20 states/eV/cell. The crystal system is orthorhombic. As for the formation energy: 149 kJ/mol of formula units. The calculation puts the total DFT energy (no corrections) at -54.366 eV/atom.

The following is a DFT calculation (meta-GGA SCAN) of Na2AlBiCl at its PBEsol-relaxed geometry.

Cell: 5.5407 5.9216 5.9216 Å, 90.00 90.00 90.00°
With the nearest neighbours (Å) after each atom.
Atoms (fractional coordinates):
1 Na 0.0000 0.0000 0.5000  2 Bi 2.96
2 Na 0.0000 0.5000 0.0000  2 Bi 2.96
3 Cl 0.5000 0.0000 0.0000  2 Bi 2.77
4 Bi 0.0000 0.0000 0.0000  2 Cl 2.77, 4 Na 2.96
5 Al 0.5000 0.5000 0.5000  8 Na 4.05, 4 Cl 4.19

Computed properties:
As for the density of states at the Fermi level: 3.13 states/eV/cell. The formation energy (no corrections) comes out at 216 meV per atom. The crystal system is tetragonal. The calculation puts the total DFT energy (no corrections) at -20.332 eV/atom.

The following is a DFT calculation (meta-GGA SCAN) of CrSb2P at its PBEsol-relaxed geometry.

Cell: 6.1138 6.1138 7.2692 Å, 114.87 114.87 90.00°
With the nearest neighbours (Å) after each atom.
Atoms (fractional coordinates):
1 P 0.7500 0.2500 0.5000  4 Sb 2.61
2 P 0.5000 0.5000 0.0000  4 Sb 2.61
3 Sb 0.3736 0.8750 0.2500  2 Cr 2.60, 2 P 2.61
4 Sb 0.6250 0.6264 0.7500  2 Cr 2.60, 2 P 2.61
5 Sb 0.8764 0.3750 0.2500  2 Cr 2.60, 2 P 2.61
6 Sb 0.1250 0.1236 0.7500  2 Cr 2.60, 2 P 2.61
7 Cr 0.2500 0.7500 0.5000  4 Sb 2.60
8 Cr 0.0000 0.0000 0.0000  4 Sb 2.60

Computed properties:
As for the density of states at the Fermi level: 5.84 states/eV/cell. The formation energy (no corrections) comes out at 329 meV per atom. The crystal system is tetragonal. The calculation puts the total DFT energy (no corrections) at -25.498 eV/atom.